A plane-wave DFT calculation with PBE-GGA was carried out for an optimized crystal structure of Ba3Sb.

Lattice parameters (Å, degrees): 4.3927 4.3927 10.9045 90.00 90.00 89.99
Site moments in Bohr magnetons follow the coordinates.
Positions (direct):
Ba 0.0000 0.0000 0.0852  0.03
Ba 0.5000 0.5000 0.7500  0.10
Ba 0.0000 0.0000 0.4148  0.03
Sb 0.5000 0.5000 0.2500  0.01

Computed properties:
Raw formation energy ... -521 meV/atom
Uncorrected energy ... -2.99 eV/atom
DOS(E_F) ... 3.11 states/eV/f.u.